First-principles (PBE) data for crystalline CdAg6Au3 at its relaxed geometry, as listed in Alexandria via LeMat-Bulk.

a b c (Å): 5.122 10.038 10.038
angles (deg): 133.10 90.00 90.00
Sites, in units of the cell vectors:
Ag1 0.028 0.763 0.612
Ag2 0.838 0.307 0.693
Ag3 0.350 0.450 0.908
Ag4 0.528 0.237 0.388
Ag5 0.338 0.693 0.307
Ag6 0.028 0.388 0.237
Ag7 0.850 0.550 0.092
Ag8 0.783 0.003 0.997
Ag9 0.283 0.997 0.003
Ag10 0.350 0.092 0.550
Ag11 0.850 0.908 0.450
Ag12 0.528 0.612 0.763
Au1 0.520 0.299 0.058
Au2 0.544 0.552 0.448
Au3 0.520 0.942 0.701
Au4 0.020 0.058 0.299
Au5 0.044 0.448 0.552
Au6 0.020 0.701 0.942
Cd1 0.523 0.843 0.157
Cd2 0.023 0.157 0.843

Results
DOS at the Fermi energy, states/eV per cell: 6.270
Energy relative to the elements, eV/atom: 0.01
Magnetic moment, μB per formula unit: 0.00
Relative energy among the computed polymorphs, meV per atom: 0